Material: LuTiInPb
Method: DFT, GGA-PBE
State: relaxed

Energy of formation, meV/atom: -58
Total magnetization, Bohr magnetons per cell: 8.3
Fermi-level density of states, states/eV/cell: 18.224

Unit cell a=7.227 b=7.227 c=7.227 alpha=90.00 beta=90.00 gamma=90.00
Space group F-43m (No. 216)
One atom of each set of equivalent atoms:
Lu1 0.000 0.000 0.000 [4 per cell]
Ti1 0.000 0.000 0.500 [4 per cell]
In1 0.250 0.250 0.250 [4 per cell]
Pb1 0.250 0.250 0.750 [4 per cell]